Y5Er7: optimized geometry, PBE.

The formation enthalpy at 0 K comes out at 0.20 eV per atom. Its energy above the most stable polymorph in this dataset is 193.4 meV/atom. Its mass density is 7.0 Mg/m³.

The space group is C2/m (No. 12) and the conventional cell measures 9.603, 5.625 and 14.586 Å, with angles of 90.00, 102.76 and 90.00 degrees. The distinct sites, in fractional coordinates, are Y at (0.000, 0.000, 0.000), Y at (0.111, 0.500, 0.805), Y at (0.144, 0.000, 0.438), Er at (0.000, 0.500, 0.500), Er at (0.059, 0.000, 0.212), Er at (0.189, 0.500, 0.079) and Er at (0.232, 0.000, 0.674).

Y4Er: optimized geometry, PBE.

The formation enthalpy at 0 K comes out at 0.03 eV per atom. Its energy above the most stable polymorph in this dataset is 0.0 meV/atom. Its mass density is 5.5 Mg/m³.

The space group is C2/m (No. 12) and the conventional cell measures 6.165, 3.562 and 14.635 Å, with angles of 90.00, 97.94 and 90.00 degrees. The distinct sites, in fractional coordinates, are Y at (0.101, 0.000, 0.302), Y at (0.200, 0.500, 0.101) and Er at (0.000, 0.500, 0.500).

Y3Er2: optimized geometry, PBE.

The formation enthalpy at 0 K comes out at 0.00 eV per atom. Its mass density is 6.2 Mg/m³.

The space group is C2/c (No. 15) and the conventional cell measures 11.823, 6.272 and 9.172 Å, with angles of 90.00, 109.96 and 90.00 degrees. The distinct sites, in fractional coordinates, are Y at (0.000, 0.169, 0.250), Y at (0.199, 0.166, 0.650) and Er at (0.100, 0.334, 0.950).

Y3Er: optimized geometry, PBE.

The formation enthalpy at 0 K comes out at 0.03 eV per atom. Its energy above the most stable polymorph in this dataset is 27.4 meV/atom. Its mass density is 5.7 Mg/m³.

The space group is Pm-3m (No. 221) and the conventional cell measures 5.029, 5.029 and 5.029 Å, with angles of 90.00, 90.00 and 90.00 degrees. The distinct sites, in fractional coordinates, are Y at (0.000, 0.000, 0.500) and Er at (0.500, 0.500, 0.500).

Y5Er7: optimized geometry, PBE.

The formation enthalpy at 0 K comes out at 0.01 eV per atom. Its energy above the most stable polymorph in this dataset is 0.0 meV/atom. Its mass density is 7.2 Mg/m³.

The space group is C2/m (No. 12) and the conventional cell measures 18.445, 3.549 and 12.999 Å, with angles of 90.00, 118.25 and 90.00 degrees. The distinct sites, in fractional coordinates, are Y at (0.000, 0.000, 0.000), Y at (0.166, 0.000, 0.499), Y at (0.195, 0.500, 0.751), Er at (0.000, 0.500, 0.500), Er at (0.028, 0.000, 0.750), Er at (0.138, 0.500, 0.249) and Er at (0.166, 0.500, 0.998).

Y5Er3: optimized geometry, PBE.

The formation enthalpy at 0 K comes out at 0.00 eV per atom. Its mass density is 6.1 Mg/m³.

The space group is Pmm2 (No. 25) and the conventional cell measures 3.627, 5.617 and 12.563 Å, with angles of 90.00, 90.00 and 90.00 degrees. The distinct sites, in fractional coordinates, are Y at (0.000, 0.000, 0.000), Y at (0.000, 0.000, 0.494), Y at (0.000, 0.500, 0.832), Y at (0.500, 0.000, 0.747), Y at (0.500, 0.500, 0.578), Er at (0.000, 0.500, 0.327), Er at (0.500, 0.000, 0.247) and Er at (0.500, 0.500, 0.082).

Y3Er13: optimized geometry, PBE.

The formation enthalpy at 0 K comes out at 0.02 eV per atom. Its energy above the most stable polymorph in this dataset is 21.7 meV/atom. Its mass density is 8.2 Mg/m³.

The space group is Amm2 (No. 38) and the conventional cell measures 9.937, 9.951 and 9.952 Å, with angles of 90.00, 90.00 and 90.00 degrees. The distinct sites, in fractional coordinates, are Y at (0.000, 0.000, 0.000), Y at (0.251, 0.000, 0.251), Er at (0.000, 0.000, 0.502), Er at (0.000, 0.249, 0.751), Er at (0.251, 0.000, 0.750), Er at (0.251, 0.250, 0.001), Er at (0.500, 0.000, 0.000), Er at (0.500, 0.000, 0.502) and Er at (0.500, 0.249, 0.751).

Y3Er13: optimized geometry, PBE.

The formation enthalpy at 0 K comes out at 0.00 eV per atom. Its energy above the most stable polymorph in this dataset is 0.0 meV/atom. Its mass density is 8.1 Mg/m³.

The space group is Amm2 (No. 38) and the conventional cell measures 7.203, 11.151 and 12.456 Å, with angles of 90.00, 90.00 and 90.00 degrees. The distinct sites, in fractional coordinates, are Y at (0.000, 0.000, 0.000), Y at (0.251, 0.000, 0.748), Er at (0.000, 0.000, 0.498), Er at (0.000, 0.249, 0.166), Er at (0.250, 0.000, 0.250), Er at (0.251, 0.249, 0.416), Er at (0.500, 0.000, 0.000), Er at (0.500, 0.000, 0.498) and Er at (0.500, 0.248, 0.165).

Y3Er: optimized geometry, PBE.

The formation enthalpy at 0 K comes out at 0.13 eV per atom. Its energy above the most stable polymorph in this dataset is 132.2 meV/atom. Its mass density is 5.6 Mg/m³.

The space group is Fm-3m (No. 225) and the conventional cell measures 8.035, 8.035 and 8.035 Å, with angles of 90.00, 90.00 and 90.00 degrees. The distinct sites, in fractional coordinates, are Y at (0.000, 0.000, 0.000), Y at (0.250, 0.250, 0.250) and Er at (0.000, 0.000, 0.500).

Y3Er: optimized geometry, PBE.

The formation enthalpy at 0 K comes out at 0.03 eV per atom. Its energy above the most stable polymorph in this dataset is 27.4 meV/atom. Its mass density is 5.7 Mg/m³.

The space group is I4/mmm (No. 139) and the conventional cell measures 5.025, 5.025 and 10.065 Å, with angles of 90.00, 90.00 and 90.00 degrees. The distinct sites, in fractional coordinates, are Y at (0.000, 0.000, 0.000), Y at (0.000, 0.500, 0.250) and Er at (0.000, 0.000, 0.500).

Y7Er6: optimized geometry, PBE.

The formation enthalpy at 0 K comes out at 0.28 eV per atom. Its mass density is 6.3 Mg/m³.

The space group is R-3m (No. 166, hexagonal axes) and the conventional cell measures 6.5322, 6.5322 and 34.9649 Å, with angles of 90.00, 90.00 and 120.00 degrees. The distinct sites, in fractional coordinates, are Y at (0.0000, 0.0000, 0.0000), Y at (0.0045, 0.5022, 0.4115), Er at (0.0000, 0.0000, 0.1670), Er at (0.0000, 0.0000, 0.3530) and Er at (0.0000, 0.0000, 0.4539).

Y2Er13: optimized geometry, PBE.

The formation enthalpy at 0 K comes out at 0.63 eV per atom. Its energy above the most stable polymorph in this dataset is 22.1 meV/atom. Its mass density is 6.7 Mg/m³.

The space group is R-3m (No. 166, hexagonal axes) and the conventional cell measures 9.0969, 9.0969 and 24.3248 Å, with angles of 90.00, 90.00 and 120.00 degrees. The distinct sites, in fractional coordinates, are Y at (0.0000, 0.0000, 0.2414), Er at (0.0000, 0.0000, 0.0000), Er at (0.0862, 0.5431, 0.3056) and Er at (0.0918, 0.5459, 0.5592).

Y6Er7: optimized geometry, PBE.

The formation enthalpy at 0 K comes out at 0.24 eV per atom. Its mass density is 6.6 Mg/m³.

The space group is R-3m (No. 166, hexagonal axes) and the conventional cell measures 6.5043, 6.5043 and 34.9803 Å, with angles of 90.00, 90.00 and 120.00 degrees. The distinct sites, in fractional coordinates, are Y at (0.0000, 0.0000, 0.0465), Y at (0.0000, 0.0000, 0.1482), Y at (0.0000, 0.0000, 0.3332), Er at (0.0000, 0.0000, 0.5000) and Er at (0.0030, 0.5015, 0.9114).

Y7Er3: optimized geometry, PBE.

The formation enthalpy at 0 K comes out at 0.19 eV per atom. Its energy above the most stable polymorph in this dataset is 139.4 meV/atom. Its mass density is 5.8 Mg/m³.

The space group is P6_3mc (No. 186) and the conventional cell measures 10.8029, 10.8029 and 6.4181 Å, with angles of 90.00, 90.00 and 120.00 degrees. The distinct sites, in fractional coordinates, are Y at (0.0595, 0.5297, 0.0000), Y at (0.1202, 0.2404, 0.8266), Y at (0.3333, 0.6667, 0.6941) and Er at (0.2067, 0.4135, 0.3451).

YEr5: optimized geometry, PBE.

The formation enthalpy at 0 K comes out at 0.03 eV per atom. Its mass density is 8.3 Mg/m³.

The space group is C2/m (No. 12) and the conventional cell measures 6.102, 10.525 and 6.101 Å, with angles of 90.00, 109.44 and 90.00 degrees. The distinct sites, in fractional coordinates, are Y at (0.000, 0.000, 0.000), Er at (0.000, 0.168, 0.500), Er at (0.000, 0.333, 0.000) and Er at (0.000, 0.500, 0.500).

YEr8: optimized geometry, PBE.

The formation enthalpy at 0 K comes out at 0.02 eV per atom. Its mass density is 8.6 Mg/m³.

The space group is I4/mmm (No. 139) and the conventional cell measures 10.550, 10.550 and 4.962 Å, with angles of 90.00, 90.00 and 90.00 degrees. The distinct sites, in fractional coordinates, are Y at (0.000, 0.000, 0.000), Er at (0.000, 0.334, 0.000) and Er at (0.167, 0.167, 0.500).

Y3Er: optimized geometry, PBE.

The formation enthalpy at 0 K comes out at 0.00 eV per atom. Its energy above the most stable polymorph in this dataset is 3.9 meV/atom. Its mass density is 5.6 Mg/m³.

The space group is P6_3/mmc (No. 194) and the conventional cell measures 7.2615, 7.2615 and 5.6459 Å, with angles of 90.00, 90.00 and 120.00 degrees. The distinct sites, in fractional coordinates, are Y at (0.1674, 0.3348, 0.2500) and Er at (0.3333, 0.6667, 0.7500).

Y3Er7: optimized geometry, PBE.

The formation enthalpy at 0 K comes out at 0.02 eV per atom. Its energy above the most stable polymorph in this dataset is 0.0 meV/atom. Its mass density is 7.7 Mg/m³.

The space group is C2/m (No. 12) and the conventional cell measures 17.970, 4.972 and 7.067 Å, with angles of 90.00, 101.29 and 90.00 degrees. The distinct sites, in fractional coordinates, are Y at (0.000, 0.000, 0.000), Y at (0.199, 0.000, 0.600), Er at (0.000, 0.000, 0.500), Er at (0.100, 0.500, 0.300), Er at (0.100, 0.500, 0.800) and Er at (0.200, 0.000, 0.099).

Y13Er3: optimized geometry, PBE.

The formation enthalpy at 0 K comes out at 0.00 eV per atom. Its energy above the most stable polymorph in this dataset is 0.0 meV/atom. Its mass density is 5.3 Mg/m³.

The space group is Amm2 (No. 38) and the conventional cell measures 7.283, 11.291 and 12.591 Å, with angles of 90.00, 90.00 and 90.00 degrees. The distinct sites, in fractional coordinates, are Y at (0.000, 0.000, 0.000), Y at (0.000, 0.000, 0.499), Y at (0.000, 0.248, 0.167), Y at (0.250, 0.000, 0.749), Y at (0.251, 0.249, 0.416), Y at (0.500, 0.000, 0.000), Y at (0.500, 0.249, 0.166), Er at (0.251, 0.000, 0.250) and Er at (0.500, 0.000, 0.498).

Y3Er5: optimized geometry, PBE.

The formation enthalpy at 0 K comes out at 0.00 eV per atom. Its mass density is 7.3 Mg/m³.

The space group is Pmm2 (No. 25) and the conventional cell measures 3.612, 5.592 and 12.506 Å, with angles of 90.00, 90.00 and 90.00 degrees. The distinct sites, in fractional coordinates, are Y at (0.000, 0.000, 0.000), Y at (0.000, 0.500, 0.170), Y at (0.500, 0.000, 0.255), Er at (0.000, 0.000, 0.504), Er at (0.000, 0.500, 0.670), Er at (0.500, 0.000, 0.751), Er at (0.500, 0.500, 0.422) and Er at (0.500, 0.500, 0.917).

YEr5: optimized geometry, PBE.

The formation enthalpy at 0 K comes out at 0.02 eV per atom. Its mass density is 8.3 Mg/m³.

The space group is Cmmm (No. 65) and the conventional cell measures 4.975, 14.941 and 4.967 Å, with angles of 90.00, 90.00 and 90.00 degrees. The distinct sites, in fractional coordinates, are Y at (0.000, 0.000, 0.000), Er at (0.000, 0.167, 0.500), Er at (0.000, 0.333, 0.000) and Er at (0.000, 0.500, 0.500).

Y6Er5: optimized geometry, PBE.

The formation enthalpy at 0 K comes out at 0.14 eV per atom. Its mass density is 6.4 Mg/m³.

The space group is C2/m (No. 12) and the conventional cell measures 9.233, 12.877 and 6.239 Å, with angles of 90.00, 107.74 and 90.00 degrees. The distinct sites, in fractional coordinates, are Y at (0.171, 0.000, 0.178), Y at (0.182, 0.136, 0.665), Er at (0.000, 0.241, 0.000), Er at (0.000, 0.373, 0.500) and Er at (0.000, 0.500, 0.000).